Entry 1:
Computed, not measured: a relaxed structure of Pu2HgGe at the GGA-PBE level of DFT.

## Properties
- DFT formation energy (meV/atom) = -287
- energy above the most stable polymorph in this dataset (eV per atom) = 0.000

Cell lengths 3.6001, 3.6001, 7.5671 Å; angles 90.00, 90.00, 90.00 degrees
With the nearest neighbours (Å) after each atom.
Space group P4/mmm (No. 123)
Symmetry-distinct sites (fractional):
Pu: 0.0000 0.0000 0.2186 (multiplicity 2)  4 Ge 3.04, 1 Pu 3.31, 4 Hg 3.32
Hg: 0.5000 0.5000 0.5000 (multiplicity 1)  8 Pu 3.32, 4 Hg 3.60
Ge: 0.5000 0.5000 0.0000 (multiplicity 1)  8 Pu 3.04



Entry 2:
Computed, not measured: a relaxed structure of Pu5HgGe4 at the GGA-PBE level of DFT.

## Properties
- DFT formation energy (meV/atom) = -360

Cell lengths 3.8272, 3.8272, 15.3907 Å; angles 90.00, 90.00, 90.00 degrees
With the nearest neighbours (Å) after each atom.
Space group P4/mmm (No. 123)
Symmetry-distinct sites (fractional):
Pu: 0.0000 0.0000 0.0000 (multiplicity 1)  2 Pu 3.00, 8 Ge 3.15
Pu: 0.0000 0.0000 0.1948 (multiplicity 2)  2 Pu 2.72-3.00, 8 Ge 3.02-3.04
Pu: 0.0000 0.0000 0.3716 (multiplicity 2)  1 Pu 2.72, 4 Ge 3.04
Hg: 0.5000 0.5000 0.5000 (multiplicity 1)  8 Pu 3.35, 2 Ge 3.36
Ge: 0.5000 0.5000 0.1046 (multiplicity 2)  1 Ge 2.73, 4 Pu 3.04
Ge: 0.5000 0.5000 0.2820 (multiplicity 2)  1 Ge 2.73, 8 Pu 3.02-3.04



Entry 3:
Computed, not measured: a relaxed structure of Pu2HgGe2 at the GGA-PBE level of DFT.

## Properties
- DFT formation energy (meV/atom) = -334

Cell lengths 7.2980, 7.2980, 4.3458 Å; angles 90.00, 90.00, 90.00 degrees
With the nearest neighbours (Å) after each atom.
Space group P4/mbm (No. 127)
Symmetry-distinct sites (fractional):
Pu: 0.1701 0.3299 0.0000 (multiplicity 4)  6 Ge 3.02-3.08
Hg: 0.0000 0.0000 0.5000 (multiplicity 2)  4 Ge 2.88
Ge: 0.1264 0.6264 0.5000 (multiplicity 4)  1 Ge 2.61, 2 Hg 2.88



Entry 4:
Computed, not measured: a relaxed structure of Pu2HgGe at the GGA-PBE level of DFT.

## Properties
- DFT formation energy (meV/atom) = -247
- energy above the most stable polymorph in this dataset (eV per atom) = 0.040

Cell lengths 7.3429, 7.3429, 7.3429 Å; angles 90.00, 90.00, 90.00 degrees
With the nearest neighbours (Å) after each atom.
Space group Fm-3m (No. 225)
Symmetry-distinct sites (fractional):
Pu: 0.2500 0.2500 0.2500 (multiplicity 8)  4 Ge 3.18, 4 Hg 3.18
Hg: 0.0000 0.0000 0.0000 (multiplicity 4)  8 Pu 3.18
Ge: 0.0000 0.0000 0.5000 (multiplicity 4)  8 Pu 3.18



Entry 5:
Computed, not measured: a relaxed structure of Pu2HgGe at the GGA-PBE level of DFT.

## Properties
- DFT formation energy (meV/atom) = -85
- energy above the most stable polymorph in this dataset (eV per atom) = 0.202

Cell lengths 3.5140, 3.5140, 28.8212 Å; angles 90.00, 90.00, 120.00 degrees
With the nearest neighbours (Å) after each atom.
Space group R-3m (No. 166, hexagonal axes)
Symmetry-distinct sites (fractional):
Pu: 0.0000 0.0000 0.2416 (multiplicity 6)  3 Ge 2.96
Hg: 0.0000 0.0000 0.0000 (multiplicity 3)  6 Pu 3.33, 6 Hg 3.51
Ge: 0.0000 0.0000 0.5000 (multiplicity 3)  6 Pu 2.96



Entry 6:
Computed, not measured: a relaxed structure of Pu4HgGe2 at the GGA-PBE level of DFT.

## Properties
- DFT formation energy (meV/atom) = -97

Cell lengths 3.6279, 3.6279, 38.7301 Å; angles 90.00, 90.00, 120.00 degrees
With the nearest neighbours (Å) after each atom.
Space group R-3m (No. 166, hexagonal axes)
Symmetry-distinct sites (fractional):
Pu: 0.0000 0.0000 0.1025 (multiplicity 6)  3 Pu 2.46
Pu: 0.0000 0.0000 0.2641 (multiplicity 6)  3 Pu 2.46
Hg: 0.0000 0.0000 0.5000 (multiplicity 3)  6 Pu 3.25, 6 Hg 3.63
Ge: 0.0000 0.0000 0.3503 (multiplicity 6)  3 Ge 2.47



Volume: 24.5 22.5 23.1 24.7 25.7 21.0 (Å³ per atom)
Size of the total moment: 11.492 4.784 22.294 48.007 34.683 4.920 (μB/cell)